Material: NaScRu2
Method: DFT, PBE
State: optimized geometry

Summary:
As for the space group: I-42d. The value obtained for the energy above the most stable polymorph in this dataset is 206.3 meV/atom. The calculation puts the density of states at the Fermi level at 3.688 states/eV/f.u. The spin magnetization is 0.5 μB/f.u. As for the formation enthalpy at 0 K: 2.698 eV/f.u.

Unit cell a=4.1116 b=4.1116 c=9.8354 alpha=77.93 beta=77.93 gamma=90.00
Site moments in Bohr magnetons follow the coordinates.
Atoms (fractional coordinates):
Sc 0.0000 0.0000 0.0000  -0.05
Sc 0.7500 0.2500 0.5000  -0.05
Ru 0.7178 0.1250 0.2500  0.29
Ru 0.0322 0.6250 0.2500  0.29
Ru 0.3750 0.2822 0.7500  0.29
Ru 0.8750 0.9678 0.7500  0.29
Na 0.5000 0.5000 0.0000  0.00
Na 0.2500 0.7500 0.5000  0.00